Computed, not measured: a crystal of Re2TeCl relaxed with PBEsol at the meta-GGA SCAN level of DFT.

```
Re2TeCl
1.0
2.899 0.000 0.000
-1.450 2.544 0.000
0.000 0.000 9.193
Re Te Cl
2 1 1
direct
0.000 0.000 0.766
0.000 0.000 0.234
0.500 0.000 0.500
0.500 0.000 0.000
```

E_form (uncorrected) = 32.5 kcal/mol of atoms
D(E_F) = 1.123 states/eV/atom
Distance to the lowest polymorph of the same formula = 343 meV/atom
Total DFT energy (no corrections) = -1.670 Ha/atom
SG = Cmmm (65)